# CaPSe | the Alexandria database | GGA-PBE | relaxed
data_CaPSe
_chemical_formula_sum 'Ca2 P2 Se2'
_cell_length_a 3.067
_cell_length_b 3.067
_cell_length_c 15.862
_cell_angle_alpha 90.00
_cell_angle_beta 90.00
_cell_angle_gamma 90.00
_space_group_name_H-M_alt 'I 4 m m'
_space_group_IT_number 107
_space_group_name_Hall 'I 4 -2'
loop_
_atom_site_label
_atom_site_fract_x
_atom_site_fract_y
_atom_site_fract_z
Ca1 0.000 0.000 0.000
P1 0.000 0.000 0.629
Se1 0.000 0.000 0.366
# - DFT total energy (eV/atom) = -3.89
# - ΔE_f (raw) (eV/f.u.) = -0.79

=====

# AlTeN2O | the Alexandria database | GGA-PBE | relaxed
data_AlTeN2O
_chemical_formula_sum 'Al1 Te1 N2 O1'
_cell_length_a 4.034
_cell_length_b 4.034
_cell_length_c 3.873
_cell_angle_alpha 90.00
_cell_angle_beta 90.00
_cell_angle_gamma 90.00
_space_group_name_H-M_alt 'P 4/m m m'
_space_group_IT_number 123
_space_group_name_Hall '-P 4 2'
loop_
_atom_site_label
_atom_site_fract_x
_atom_site_fract_y
_atom_site_fract_z
Al1 0.000 0.000 0.000
Te1 0.500 0.500 0.500
N1 0.000 0.500 0.500
O1 0.500 0.500 0.000
# - DFT total energy (eV/atom) = -4.93
# - ΔE_f (raw) (eV/f.u.) = 3.85